(1)
DFT (GGA-PBE) results for a geometry-optimized Dy5Ho12Tm structure.

abc: 10.556 10.556 4.974
angles: 90.00 90.00 90.13
Fractional positions:
Dy 0.000 0.000 0.000
Dy 0.167 0.833 0.500
Dy 0.334 0.666 0.000
Dy 0.666 0.334 0.000
Dy 0.833 0.167 0.500
Ho 0.000 0.334 0.000
Ho 0.000 0.666 0.000
Ho 0.167 0.167 0.500
Ho 0.167 0.500 0.500
Ho 0.334 0.000 0.000
Ho 0.334 0.334 0.000
Ho 0.500 0.167 0.500
Ho 0.500 0.833 0.500
Ho 0.666 0.000 0.000
Ho 0.666 0.666 0.000
Ho 0.833 0.500 0.500
Ho 0.833 0.833 0.500
Tm 0.500 0.500 0.500

ρ = 8.9 g/cm3
ΔE_f = 0.021 eV per atom
SG = Cmmm, No. 65
Volume = 30.79 A^3/atom
Spin magnetization = 0.000 μB/f.u.

=====

(2)
DFT (GGA-PBE) results for a geometry-optimized Tb2SmDy3Tm6 structure.

abc: 6.105 6.105 11.642
angles: 95.00 95.00 119.94
Fractional positions:
Tb 0.167 0.833 0.000
Tb 0.833 0.167 0.000
Sm 0.500 0.500 0.000
Dy 0.000 0.000 0.500
Dy 0.333 0.667 0.500
Dy 0.667 0.333 0.500
Tm 0.082 0.416 0.749
Tm 0.251 0.251 0.251
Tm 0.416 0.082 0.749
Tm 0.584 0.918 0.251
Tm 0.749 0.749 0.749
Tm 0.918 0.584 0.251

ρ = 8.8 g/cm3
ΔE_f = 0.021 eV per atom
SG = C2/m, No. 12
Volume = 30.86 A^3/atom
Spin magnetization = 0.000 μB/f.u.

=====

> Which value of volume does entry 1 give?

30.79 A^3/atom